[1]
TeAsSeN2 | PBE | relaxed

Unit cell a=3.943 b=3.943 c=5.423 alpha=90.00 beta=90.00 gamma=90.00
Element x y z (fractional)
As  0.000  0.000  0.000
Te  0.500  0.500  0.500
Se  0.000  0.000  0.500
N  0.000  0.500  0.000
N  0.500  0.000  0.000

ΔE_f (raw): 1.338 eV/atom
density: 6.10 g/cm3
SG: No. 123

---

[2]
Zn2CuRu | PBE | relaxed

Unit cell a=5.011 b=5.011 c=5.011 alpha=145.11 beta=130.38 gamma=62.09
Element x y z (fractional)
Cu  0.506  0.506  0.000
Ru  0.252  0.752  0.500
Zn  0.996  0.996  0.000
Zn  0.746  0.246  0.500

density: 9.05 g/cm3
electronic total energy: -15.82 eV per cell
SG: No. 44

---

[3]
Y3TiFe8 | PBE | relaxed

Unit cell a=5.066 b=5.066 c=8.777 alpha=73.22 beta=73.22 gamma=60.00
Element x y z (fractional)
Y  0.375  0.375  0.874
Y  0.998  0.998  0.007
Y  0.502  0.502  0.495
Ti  0.874  0.874  0.377
Fe  0.934  0.435  0.195
Fe  0.444  0.938  0.679
Fe  0.435  0.435  0.195
Fe  0.938  0.938  0.679
Fe  0.188  0.188  0.436
Fe  0.687  0.687  0.938
Fe  0.435  0.934  0.195
Fe  0.938  0.444  0.679

density: 6.87 g/cm3
electronic total energy: -96.18 eV per cell
SG: No. 160